1.
A plane-wave DFT calculation with PBE was carried out for a geometry-optimized P2Au2Se structure.

Summary:
energy above the lowest structure with this stoichiometry: 4.0 kJ per mole of atoms
electronic total energy: -3.72 eV/atom
volume: 96 Å³/cell
total magnetization: 0.000 μB per formula unit
formation energy (no corrections): 219.1 kJ/mol of formula units

Cell and atoms, written as POSCAR:
```
P2Au2Se
1.0
-2.2295 2.2295 4.8507
2.2295 -2.2295 4.8507
2.2295 2.2295 -4.8507
P Au Se
2 2 1
Direct
0.1144 0.1144 0.0000
0.8856 0.8856 0.0000
0.2500 0.7500 0.5000
0.7500 0.2500 0.5000
0.5000 0.5000 0.0000
```

2.
A plane-wave DFT calculation with PBE was carried out for a geometry-optimized P2AuSe structure.

Summary:
electronic total energy: -3.89 eV/atom
volume: 79 Å³/cell
total magnetization: 0.000 μB per formula unit
formation energy (no corrections): 194.4 kJ/mol of formula units

Cell and atoms, written as POSCAR:
```
P2AuSe
1.0
1.5577 -2.2961 0.0000
1.5577 2.2961 0.0000
0.0000 0.0000 10.9875
P Au Se
2 1 1
Direct
0.0000 0.0000 0.0000
0.5000 0.5000 0.1505
0.0000 0.0000 0.4425
0.5000 0.5000 0.7387
```

3.
A plane-wave DFT calculation with PBE was carried out for a geometry-optimized PAu2Se structure.

Summary:
energy above the lowest structure with this stoichiometry: 30.5 kJ per mole of atoms
electronic total energy: -3.40 eV/atom
volume: 74 Å³/cell
total magnetization: 0.000 μB per formula unit
formation energy (no corrections): 176.6 kJ/mol of formula units

Cell and atoms, written as POSCAR:
```
PAu2Se
1.0
3.4676 0.0000 0.0000
0.0000 4.3618 0.0000
0.0000 0.0000 4.8921
P Au Se
1 2 1
Direct
0.0000 0.0000 0.0000
0.0000 0.5000 0.5000
0.5000 0.0000 0.5000
0.5000 0.5000 0.0000
```

4.
A plane-wave DFT calculation with PBE was carried out for a geometry-optimized P2AuSe structure.

Summary:
electronic total energy: -3.84 eV/atom
volume: 90 Å³/cell
total magnetization: 0.000 μB per formula unit
formation energy (no corrections): 215.2 kJ/mol of formula units

Cell and atoms, written as POSCAR:
```
P2AuSe
1.0
-1.7213 3.5636 3.6481
1.7213 -3.5636 3.6481
1.7213 3.5636 -3.6481
P Au Se
2 1 1
Direct
0.2491 0.0000 0.2491
0.7509 0.0000 0.7509
0.0000 0.5000 0.5000
0.5000 0.5000 0.0000
```